<A>
The following is a DFT calculation (PBE) of an optimized crystal structure of UAs2Pb.

Unit cell a=3.756 b=3.756 c=6.597 alpha=90.00 beta=90.00 gamma=90.00
Fractional positions:
U: 0.500 0.500 0.000
As: 0.000 0.000 0.794
As: 0.000 0.000 0.206
Pb: 0.500 0.500 0.500



<B>
The following is a DFT calculation (PBE) of an optimized crystal structure of UAs2Pb.

Unit cell a=3.115 b=3.115 c=11.726 alpha=82.37 beta=82.37 gamma=60.00
Fractional positions:
As: 0.916 0.916 0.252
U: 0.000 0.000 0.000
Pb: 0.500 0.500 0.500
As: 0.084 0.084 0.748



Which of them is the least stable? Correct choice: <B>.



<A>
The following is a DFT calculation (PBE) of an optimized crystal structure of V2AsPb.

Unit cell a=4.571 b=4.571 c=4.571 alpha=60.00 beta=60.00 gamma=60.00
Fractional positions:
V: 0.750 0.750 0.750
As: 0.000 0.000 0.000
V: 0.250 0.250 0.250
Pb: 0.500 0.500 0.500



<B>
The following is a DFT calculation (PBE) of an optimized crystal structure of V2AsPb.

Unit cell a=7.194 b=7.194 c=5.856 alpha=52.11 beta=52.11 gamma=90.00
Fractional positions:
As: 0.500 0.500 0.000
V: 0.375 0.429 0.750
Pb: 0.750 0.250 0.500
V: 0.875 0.821 0.750
As: 0.250 0.750 0.500
Pb: 0.000 0.000 0.000
V: 0.179 0.625 0.250
V: 0.571 0.125 0.250



Which of them is the least stable? Correct choice: <B>.



<A>
The following is a DFT calculation (PBE) of an optimized crystal structure of V3AsPb.

Unit cell a=5.095 b=5.095 c=5.095 alpha=90.00 beta=90.00 gamma=90.00
Fractional positions:
V: 0.000 0.500 0.000
V: 0.500 0.000 0.000
Pb: 0.000 0.000 0.000
V: 0.000 0.000 0.500
As: 0.500 0.500 0.500



<B>
The following is a DFT calculation (PBE) of an optimized crystal structure of V3AsPb.

Unit cell a=4.667 b=4.667 c=4.667 alpha=90.00 beta=90.00 gamma=90.00
Fractional positions:
V: 0.000 0.500 0.000
Pb: 0.500 0.500 0.500
As: 0.000 0.000 0.000
V: 0.000 0.000 0.500
V: 0.500 0.000 0.000



Which of them is the least stable? Correct choice: <A>.



<A>
The following is a DFT calculation (PBE) of an optimized crystal structure of AsPbW2.

Unit cell a=10.146 b=10.146 c=10.146 alpha=17.75 beta=17.75 gamma=17.75
Fractional positions:
W: 0.985 0.985 0.985
W: 0.254 0.254 0.254
As: 0.522 0.522 0.522
Pb: 0.739 0.739 0.739



<B>
The following is a DFT calculation (PBE) of an optimized crystal structure of AsPbW2.

Unit cell a=3.227 b=3.227 c=8.019 alpha=90.00 beta=90.00 gamma=90.00
Fractional positions:
Pb: 0.500 0.500 0.788
W: 0.000 0.000 0.059
W: 0.500 0.500 0.234
As: 0.000 0.000 0.418



<C>
The following is a DFT calculation (PBE) of an optimized crystal structure of AsPbW2.

Unit cell a=4.217 b=4.217 c=9.836 alpha=77.62 beta=77.62 gamma=90.00
Fractional positions:
As: 0.250 0.750 0.500
As: 0.500 0.500 0.000
Pb: 0.750 0.250 0.500
W: 0.375 0.450 0.750
W: 0.200 0.625 0.250
Pb: 0.000 0.000 0.000
W: 0.550 0.125 0.250
W: 0.875 0.800 0.750



<D>
The following is a DFT calculation (PBE) of an optimized crystal structure of AsPbW2.

Unit cell a=4.183 b=3.309 c=5.972 alpha=84.53 beta=90.00 gamma=90.00
Fractional positions:
W: 0.000 0.987 0.079
W: 0.000 0.513 0.421
As: 0.500 0.250 0.250
Pb: 0.500 0.750 0.750



Which of them is the least stable? Correct choice: <C>.



<A>
The following is a DFT calculation (PBE) of an optimized crystal structure of AsPbW2.

Unit cell a=4.657 b=4.657 c=6.208 alpha=79.08 beta=79.08 gamma=41.08
Fractional positions:
Pb: 0.256 0.256 0.204
W: 0.022 0.022 0.931
W: 0.739 0.739 0.754
As: 0.482 0.482 0.611



<B>
The following is a DFT calculation (PBE) of an optimized crystal structure of AsPbW2.

Unit cell a=3.238 b=3.238 c=6.966 alpha=90.00 beta=90.00 gamma=90.00
Fractional positions:
W: 0.000 0.000 0.057
Pb: 0.500 0.500 0.750
W: 0.000 0.000 0.443
As: 0.500 0.500 0.250



Which of them is the least stable? Correct choice: <B>.



<A>
The following is a DFT calculation (PBE) of an optimized crystal structure of AsPbW2.

Unit cell a=4.641 b=4.641 c=4.641 alpha=60.00 beta=60.00 gamma=60.00
Fractional positions:
W: 0.750 0.750 0.750
As: 0.000 0.000 0.000
Pb: 0.500 0.500 0.500
W: 0.250 0.250 0.250



<B>
The following is a DFT calculation (PBE) of an optimized crystal structure of AsPbW2.

Unit cell a=9.157 b=9.157 c=9.157 alpha=19.32 beta=19.32 gamma=19.32
Fractional positions:
As: 0.250 0.250 0.250
W: 0.988 0.988 0.988
W: 0.512 0.512 0.512
Pb: 0.750 0.750 0.750



<C>
The following is a DFT calculation (PBE) of an optimized crystal structure of AsPbW2.

Unit cell a=4.666 b=3.155 c=5.384 alpha=73.09 beta=90.00 gamma=90.00
Fractional positions:
W: 0.500 0.432 0.247
Pb: 0.500 0.702 0.725
W: 0.000 0.032 0.066
As: 0.000 0.335 0.462



Which of them is the least stable? Correct choice: <A>.



<A>
The following is a DFT calculation (PBE) of an optimized crystal structure of AsPbW3.

Unit cell a=5.016 b=5.016 c=5.016 alpha=90.00 beta=90.00 gamma=90.00
Fractional positions:
W: 0.000 0.500 0.000
W: 0.000 0.000 0.500
Pb: 0.000 0.000 0.000
W: 0.500 0.000 0.000
As: 0.500 0.500 0.500



<B>
The following is a DFT calculation (PBE) of an optimized crystal structure of AsPbW3.

Unit cell a=4.678 b=4.678 c=4.678 alpha=90.00 beta=90.00 gamma=90.00
Fractional positions:
W: 0.500 0.000 0.000
Pb: 0.500 0.500 0.500
W: 0.000 0.500 0.000
As: 0.000 0.000 0.000
W: 0.000 0.000 0.500



Which of them is the least stable? Correct choice: <A>.



<A>
The following is a DFT calculation (PBE) of an optimized crystal structure of Y2As2Pb.

Unit cell a=5.538 b=5.538 c=5.874 alpha=61.87 beta=61.87 gamma=90.00
Fractional positions:
Y: 0.250 0.750 0.500
As: 0.347 0.347 0.305
Y: 0.750 0.250 0.500
As: 0.653 0.653 0.695
Pb: 0.000 0.000 0.000



<B>
The following is a DFT calculation (PBE) of an optimized crystal structure of Y2As2Pb.

Unit cell a=8.113 b=8.113 c=3.820 alpha=90.00 beta=90.00 gamma=90.00
Fractional positions:
As: 0.341 0.159 0.500
Y: 0.850 0.650 0.000
Pb: 0.500 0.500 0.000
Y: 0.650 0.150 0.000
As: 0.659 0.841 0.500
Y: 0.350 0.850 0.000
As: 0.841 0.341 0.500
Pb: 0.000 0.000 0.000
Y: 0.150 0.350 0.000
As: 0.159 0.659 0.500



Which of them is the least stable? Correct choice: <A>.